VASP calculation (GGA-PBE) on a relaxed structure of FeCo2Hg.

Structure (extended XYZ):
```
4
Lattice="2.9359 0.0000 0.0000 0.0000 2.9359 0.0000 0.0000 0.0000 6.3258" Properties=species:S:1:pos:R:3 pbc="T T T"
Fe 0.0000 0.0000 0.0000
Co 1.4679 1.4679 1.3025
Co 1.4679 1.4679 5.0232
Hg 0.0000 0.0000 3.1629
```

## Properties
Formation energy from the elements: 0.9 eV/f.u.
Total energy: -5.53 eV/atom
DOS(E_F): 3.7 states/eV per cell

***

VASP calculation (GGA-PBE) on a relaxed structure of FeCo2Hg.

Structure (extended XYZ):
```
8
Lattice="-3.3953 3.3953 2.5920 3.3953 -3.3953 2.5920 3.3953 3.3953 -2.5920" Properties=species:S:1:pos:R:3 pbc="T T T"
Fe 0.0000 0.0000 0.0000
Fe 0.0000 3.3953 1.2960
Co 5.0929 1.4186 -0.6480
Co 1.4186 1.6976 0.6480
Co -1.6976 1.9767 1.9440
Co 1.9767 1.6976 3.2399
Hg 3.3953 0.0000 1.2960
Hg 0.0000 0.0000 2.5920
```

## Properties
Formation energy from the elements: 2.5 eV/f.u.
Total energy: -5.11 eV/atom
DOS(E_F): 5.6 states/eV per cell

***

VASP calculation (GGA-PBE) on a relaxed structure of FeCoHg2.

Structure (extended XYZ):
```
4
Lattice="1.4753 0.8518 8.9239 -1.4753 0.8518 8.9239 0.0000 -1.7035 8.9239" Properties=species:S:1:pos:R:3 pbc="T T T"
Fe 0.0000 0.0000 0.0000
Co 0.0000 0.0000 13.3858
Hg 0.0000 0.0000 6.6499
Hg 0.0000 0.0000 20.1218
```

## Properties
Formation energy from the elements: 2.2 eV/f.u.
Total energy: -3.49 eV/atom
ΔE to the lowest computed polymorph: 264 meV per atom
DOS(E_F): 4.8 states/eV per cell

***

VASP calculation (GGA-PBE) on a relaxed structure of FeCoHg2.

Structure (extended XYZ):
```
4
Lattice="-1.9846 1.9846 4.1704 1.9846 -1.9846 4.1704 1.9846 1.9846 -4.1704" Properties=species:S:1:pos:R:3 pbc="T T T"
Fe 0.0000 0.0000 0.0000
Co 0.0000 1.9846 2.0852
Hg 1.9846 0.0000 2.0852
Hg 0.0000 0.0000 4.1704
```

## Properties
Formation energy from the elements: 2.1 eV/f.u.
Total energy: -3.52 eV/atom
ΔE to the lowest computed polymorph: 229 meV per atom
DOS(E_F): 3.6 states/eV per cell

***

VASP calculation (GGA-PBE) on a relaxed structure of FeCoHg2.

Structure (extended XYZ):
```
4
Lattice="1.4995 0.8658 9.1588 -1.4995 0.8658 9.1588 0.0000 -1.7315 9.1588" Properties=species:S:1:pos:R:3 pbc="T T T"
Fe 0.0000 0.0000 0.0000
Co 0.0000 0.0000 7.5993
Hg 0.0000 0.0000 14.4940
Hg 0.0000 0.0000 20.6314
```

## Properties
Formation energy from the elements: 1.4 eV/f.u.
Total energy: -3.68 eV/atom
ΔE to the lowest computed polymorph: 67 meV per atom
DOS(E_F): 2.8 states/eV per cell

***

VASP calculation (GGA-PBE) on a relaxed structure of FeCoHg2.

Structure (extended XYZ):
```
4
Lattice="4.5478 -1.5547 0.0000 4.5478 1.5547 0.0000 -1.1162 0.0000 4.7794" Properties=species:S:1:pos:R:3 pbc="T T T"
Fe 0.0000 0.0000 0.0000
Co 3.9897 0.0000 2.3897
Hg 1.4121 0.0000 3.5704
Hg 6.5674 0.0000 1.2090
```

## Properties
Formation energy from the elements: 2.2 eV/f.u.
Total energy: -3.49 eV/atom
ΔE to the lowest computed polymorph: 263 meV per atom
DOS(E_F): 3.5 states/eV per cell

***

VASP calculation (GGA-PBE) on a relaxed structure of FeCoHg4.

Structure (extended XYZ):
```
6
Lattice="0.0000 3.9853 3.9853 3.9853 0.0000 3.9853 3.9853 3.9853 0.0000" Properties=species:S:1:pos:R:3 pbc="T T T"
Fe 0.0000 0.0000 0.0000
Co 1.9927 1.9927 1.9927
Hg 4.9812 2.9894 2.9894
Hg 2.9894 4.9812 2.9894
Hg 2.9894 2.9894 4.9812
Hg 4.9812 4.9812 4.9812
```

## Properties
Formation energy from the elements: 5.5 eV/f.u.
Total energy: -1.88 eV/atom
DOS(E_F): 5.9 states/eV per cell

***

VASP calculation (GGA-PBE) on a relaxed structure of FeCo2Hg.

Structure (extended XYZ):
```
4
Lattice="-1.8772 1.8772 3.8567 1.8772 -1.8772 3.8567 1.8772 1.8772 -3.8567" Properties=species:S:1:pos:R:3 pbc="T T T"
Fe 0.0000 0.0000 0.0000
Co 0.0000 0.0000 3.8567
Co 0.0000 1.8772 1.9284
Hg 1.8772 0.0000 1.9284
```

## Properties
Formation energy from the elements: 1.4 eV/f.u.
Total energy: -5.40 eV/atom
DOS(E_F): 3.7 states/eV per cell

***

VASP calculation (GGA-PBE) on a relaxed structure of FeCoHg2.

Structure (extended XYZ):
```
4
Lattice="0.0000 3.2192 3.2192 3.2192 0.0000 3.2192 3.2192 3.2192 0.0000" Properties=species:S:1:pos:R:3 pbc="T T T"
Fe 0.0000 0.0000 0.0000
Co 4.8288 4.8288 4.8288
Hg 1.6096 1.6096 1.6096
Hg 3.2192 3.2192 3.2192
```

## Properties
Formation energy from the elements: 2.3 eV/f.u.
Total energy: -3.46 eV/atom
ΔE to the lowest computed polymorph: 289 meV per atom
DOS(E_F): 4.6 states/eV per cell

***

VASP calculation (GGA-PBE) on a relaxed structure of FeCo2Hg.

Structure (extended XYZ):
```
4
Lattice="4.3631 -1.4009 0.0000 4.3631 1.4009 0.0000 -0.9494 0.0000 4.5253" Properties=species:S:1:pos:R:3 pbc="T T T"
Fe 0.0000 0.0000 0.0000
Co 3.7988 0.0000 1.8471
Co 6.2879 0.0000 0.9360
Hg 1.4163 0.0000 3.1745
```

## Properties
Formation energy from the elements: 1.4 eV/f.u.
Total energy: -5.40 eV/atom
DOS(E_F): 3.3 states/eV per cell

***

VASP calculation (GGA-PBE) on a relaxed structure of FeCoHg3.

Structure (extended XYZ):
```
5
Lattice="4.9674 0.0000 0.0000 0.0000 4.9674 0.0000 0.0000 0.0000 4.9674" Properties=species:S:1:pos:R:3 pbc="T T T"
Fe 0.0000 0.0000 0.0000
Co 2.4837 2.4837 2.4837
Hg 0.0000 2.4837 2.4837
Hg 2.4837 0.0000 2.4837
Hg 2.4837 2.4837 0.0000
```

## Properties
Formation energy from the elements: 4.8 eV/f.u.
Total energy: -2.34 eV/atom
ΔE to the lowest computed polymorph: 0 meV per atom
DOS(E_F): 17.0 states/eV per cell

***

VASP calculation (GGA-PBE) on a relaxed structure of FeCoHg2.

Structure (extended XYZ):
```
4
Lattice="3.0480 0.0000 0.0000 0.0000 3.0480 0.0000 0.0000 0.0000 7.2714" Properties=species:S:1:pos:R:3 pbc="T T T"
Fe 0.0000 0.0000 0.0000
Co 1.5240 1.5240 6.1573
Hg 0.0000 0.0000 4.3272
Hg 1.5240 1.5240 1.8767
```

## Properties
Formation energy from the elements: 1.2 eV/f.u.
Total energy: -3.75 eV/atom
ΔE to the lowest computed polymorph: 0 meV per atom
DOS(E_F): 3.5 states/eV per cell

***

VASP calculation (GGA-PBE) on a relaxed structure of La6FeCoHg2.

Structure (extended XYZ):
```
10
Lattice="7.4511 0.0000 0.0000 -0.0087 7.4647 0.0000 -3.7242 -3.7204 5.3639" Properties=species:S:1:pos:R:3 pbc="T T T"
La 0.0000 0.0000 0.0000
La -1.5008 5.1208 2.5181
La -2.9282 0.0175 5.2465
La -0.0147 2.9278 5.2976
La 2.3188 1.5783 2.6032
La 0.8150 -0.7918 5.1825
Fe 6.0200 5.1806 0.1249
Co -1.4662 -2.2441 5.2680
Hg -1.4741 1.5016 2.5973
Hg 2.2830 5.1630 2.5954
```

## Properties
Formation energy from the elements: -2.1 eV/f.u.
Total energy: -4.79 eV/atom
DOS(E_F): 11.0 states/eV per cell

***

VASP calculation (GGA-PBE) on a relaxed structure of LiFe2CoHg.

Structure (extended XYZ):
```
5
Lattice="4.0182 0.0000 0.0000 0.0000 4.0182 0.0000 0.0000 0.0000 3.9995" Properties=species:S:1:pos:R:3 pbc="T T T"
Li 0.0000 0.0000 0.0000
Fe 0.0000 2.0091 0.0000
Fe 2.0091 0.0000 0.0000
Co 0.0000 0.0000 1.9998
Hg 2.0091 2.0091 1.9998
```

## Properties
Formation energy from the elements: 6.3 eV/f.u.
Total energy: -3.98 eV/atom
DOS(E_F): 10.8 states/eV per cell

***

VASP calculation (GGA-PBE) on a relaxed structure of FeCo2HgRu.

Structure (extended XYZ):
```
5
Lattice="4.3405 0.0000 0.0000 0.0000 4.3405 0.0000 0.0000 0.0000 4.3802" Properties=species:S:1:pos:R:3 pbc="T T T"
Fe 0.0000 0.0000 0.0000
Co 0.0000 2.1702 0.0000
Co 2.1702 0.0000 0.0000
Hg 2.1702 2.1702 2.1901
Ru 0.0000 0.0000 2.1901
```

## Properties
Formation energy from the elements: 5.5 eV/f.u.
Total energy: -5.36 eV/atom
DOS(E_F): 7.8 states/eV per cell

***

VASP calculation (GGA-PBE) on a relaxed structure of Fe2CoHgRu.

Structure (extended XYZ):
```
5
Lattice="4.6061 0.0000 0.0000 0.0000 4.6061 0.0000 0.0000 0.0000 4.5286" Properties=species:S:1:pos:R:3 pbc="T T T"
Fe 0.0000 2.3031 0.0000
Fe 2.3031 0.0000 0.0000
Co 0.0000 0.0000 2.2643
Hg 2.3031 2.3031 2.2643
Ru 0.0000 0.0000 0.0000
```

## Properties
Formation energy from the elements: 6.5 eV/f.u.
Total energy: -5.42 eV/atom
ΔE to the lowest computed polymorph: 330 meV per atom
DOS(E_F): 7.2 states/eV per cell

***

VASP calculation (GGA-PBE) on a relaxed structure of Fe2CoHgRu.

Structure (extended XYZ):
```
5
Lattice="4.3458 0.0000 0.0000 0.0000 4.3458 0.0000 0.0000 0.0000 4.5085" Properties=species:S:1:pos:R:3 pbc="T T T"
Fe 0.0000 2.1729 0.0000
Fe 2.1729 0.0000 0.0000
Co 0.0000 0.0000 0.0000
Hg 2.1729 2.1729 2.2542
Ru 0.0000 0.0000 2.2542
```

## Properties
Formation energy from the elements: 4.8 eV/f.u.
Total energy: -5.75 eV/atom
ΔE to the lowest computed polymorph: 0 meV per atom
DOS(E_F): 4.4 states/eV per cell

***

VASP calculation (GGA-PBE) on a relaxed structure of FeCoSi2Hg.

Structure (extended XYZ):
```
5
Lattice="4.8464 0.0000 0.0000 0.0000 4.8464 0.0000 0.0000 0.0000 4.7647" Properties=species:S:1:pos:R:3 pbc="T T T"
Fe 0.0000 0.0000 0.0000
Co 2.4232 2.4232 0.0000
Si 0.0000 2.4232 2.3824
Si 2.4232 0.0000 2.3824
Hg 2.4232 2.4232 2.3824
```

## Properties
Total energy: -3.55 eV/atom
E_form (uncorrected): 173.2 kJ per mole of atoms
DOS(E_F): 9.1 states/eV per cell

***

VASP calculation (GGA-PBE) on a relaxed structure of Fe2CoTcHg.

Structure (extended XYZ):
```
5
Lattice="4.5079 0.0000 0.0000 0.0000 4.5079 0.0000 0.0000 0.0000 4.4783" Properties=species:S:1:pos:R:3 pbc="T T T"
Fe 0.0000 2.2540 0.0000
Fe 2.2540 0.0000 0.0000
Co 0.0000 0.0000 2.2391
Tc 0.0000 0.0000 0.0000
Hg 2.2540 2.2540 2.2391
```

## Properties
Formation energy from the elements: 6.7 eV/f.u.
Total energy: -5.60 eV/atom
DOS(E_F): 8.0 states/eV per cell

***

VASP calculation (GGA-PBE) on a relaxed structure of Ho3Fe8Co.

Structure (extended XYZ):
```
12
Lattice="2.5117 1.4501 8.2008 -2.5117 1.4501 8.2008 0.0000 -2.9003 8.2008" Properties=species:S:1:pos:R:3 pbc="T T T"
Ho 0.0000 0.0000 0.0000
Ho 0.0000 0.0000 3.1611
Ho 0.0000 0.0000 12.5539
Fe -1.2695 -0.7329 9.7779
Fe 0.0000 -1.4471 5.7925
Fe -1.2532 0.7235 5.7925
Fe 0.0000 0.0000 7.7831
Fe 1.2695 -0.7329 9.7779
Fe 0.0000 1.4658 9.7779
Fe 1.2532 0.7235 5.7925
Fe 0.0000 0.0000 20.0933
Co 0.0000 0.0000 15.5370
```

## Properties
Formation energy from the elements: -0.4 eV/f.u.
Total energy: -7.41 eV/atom
DOS(E_F): 10.8 states/eV per cell